ErZr4Co2: relaxed, GGA-PBE.

For the energy relative to the elements, the calculation gives -0.86 eV/f.u. Its total magnetization is 0.00 μB/cell.

The space group is P2_1/m (No. 11) and the conventional cell measures 6.685, 6.012 and 7.497 Å, with angles of 90.00, 108.02 and 90.00 degrees. The asymmetric unit holds Er at (0.150, 0.250, 0.032), Zr at (0.042, 0.250, 0.416), Zr at (0.239, 0.750, 0.339), Zr at (0.391, 0.002, 0.765), Co at (0.298, 0.750, 0.013) and Co at (0.401, 0.250, 0.419).